No. 1
The following is a DFT calculation (GGA-PBE) of a relaxed structure of Zr2Mn2I.

Summary:
ΔE_f (raw)   0.19 eV per atom
Excess energy over the best structure of this formula in the dataset   0.0 meV per atom
Electronic total energy   -72.1 eV for the cell shown

Cell: 3.5254 3.5254 16.4893 Å, 90.00 90.00 90.00°
Space group I4/mmm (No. 139)
Asymmetric unit:
Zr  0.0000  0.0000  0.1293 [4 per cell]
Mn  0.0000  0.5000  0.2500 [4 per cell]
I  0.0000  0.0000  0.5000 [2 per cell]



No. 2
The following is a DFT calculation (GGA-PBE) of a relaxed structure of TlPAuO.

Summary:
ΔE_f (raw)   -0.47 eV per atom
Excess energy over the best structure of this formula in the dataset   103.2 meV per atom
Electronic total energy   -35.8 eV for the cell shown

Cell: 4.5706 6.1048 6.6748 Å, 90.00 90.00 90.00°
Space group Imm2 (No. 44)
Asymmetric unit:
Tl  0.0000  0.0000  0.0000 [2 per cell]
P  0.0000  0.5000  0.9439 [2 per cell]
Au  0.0000  0.0000  0.5304 [2 per cell]
O  0.0000  0.5000  0.7085 [2 per cell]



No. 3
The following is a DFT calculation (GGA-PBE) of a relaxed structure of Nb2CoNi2.

Summary:
Energy of formation   0.225 eV per atom
Excess energy over the best structure of this formula in the dataset   292.2 meV per atom
Electronic total energy   -75.4 eV for the cell shown

Cell: 3.1462 3.1462 14.8101 Å, 90.00 90.00 90.00°
Space group I4/mmm (No. 139)
Asymmetric unit:
Nb  0.0000  0.0000  0.1084 [4 per cell]
Co  0.0000  0.0000  0.5000 [2 per cell]
Ni  0.0000  0.5000  0.2500 [4 per cell]



No. 4
The following is a DFT calculation (GGA-PBE) of a relaxed structure of Ce2CdPb4.

Summary:
Energy of formation   -0.282 eV per atom
Excess energy over the best structure of this formula in the dataset   0.0 meV per atom
Electronic total energy   -59.2 eV for the cell shown

Cell: 9.2170 9.6934 4.8152 Å, 90.00 90.00 90.00°
Space group Cmmm (No. 65)
Asymmetric unit:
Ce  0.0000  0.2490  0.0000 [4 per cell]
Cd  0.0000  0.0000  0.5000 [2 per cell]
Pb  0.2421  0.5000  0.0000 [4 per cell]
Pb  0.2500  0.2500  0.5000 [4 per cell]